# ErGa2Co2Ge

Crystalline ErGa2Co2Ge at its relaxed geometry (PBE, Alexandria).

POSCAR file:
```
ErGa2Co2Ge
1.0
4.337 0.000 0.000
0.000 4.337 0.000
0.000 0.000 5.488
Er Co Ge Ga
1 2 1 2
Direct
0.000 0.000 0.500 Er
0.000 0.500 0.000 Co
0.500 0.000 0.000 Co
0.000 0.000 0.000 Ge
0.500 0.500 0.261 Ga
0.500 0.500 0.739 Ga
```

Properties
- magnetization (Bohr magnetons per cell) = 1.2
- DFT total energy (eV per cell) = -30.55
- ΔH_f (0 K) (meV/atom) = -184


# Zn4Si3

Crystalline Zn4Si3 at its relaxed geometry (PBE, Alexandria).

POSCAR file:
```
Zn4Si3
1.0
5.105 0.000 0.000
0.000 5.105 0.000
0.000 0.000 5.105
Zn Si
4 3
Direct
0.184 0.816 0.184 Zn
0.184 0.184 0.816 Zn
0.816 0.184 0.184 Zn
0.816 0.816 0.816 Zn
0.000 0.500 0.500 Si
0.500 0.500 0.000 Si
0.500 0.000 0.500 Si
```

Properties
- raw formation energy (eV/atom) = 0.496
- magnetization (Bohr magnetons per cell) = 0.0
- DFT total energy (eV per cell) = -17.89
- energy above the lowest structure with this stoichiometry (meV per atom) = 186


# BaSr2B

Crystalline BaSr2B at its relaxed geometry (PBE, Alexandria).

POSCAR file:
```
BaSr2B
1.0
9.901 0.000 0.000
0.000 9.901 0.000
4.950 4.950 3.315
Ba B Sr
2 2 4
Direct
0.000 0.000 0.000 Ba
0.750 0.250 0.500 Ba
0.500 0.500 0.000 B
0.250 0.750 0.500 B
0.875 0.748 0.750 Sr
0.375 0.502 0.750 Sr
0.498 0.125 0.250 Sr
0.252 0.625 0.250 Sr
```

Properties
- magnetization (Bohr magnetons per cell) = 0.0
- DFT total energy (eV per cell) = -19.64
- ΔH_f (0 K) (meV/atom) = 535


# CeTl2I2Br4

Crystalline CeTl2I2Br4 at its relaxed geometry (PBE, Alexandria).

POSCAR file:
```
CeTl2I2Br4
1.0
-1.577 7.400 2.944
-7.372 3.045 -1.114
-5.286 0.642 6.042
Tl Ce Br I
2 1 4 2
Direct
0.704 0.248 0.248 Tl
0.296 0.752 0.752 Tl
0.500 0.000 0.000 Ce
0.325 0.690 0.188 Br
0.325 0.188 0.690 Br
0.675 0.310 0.812 Br
0.675 0.812 0.310 Br
0.850 0.759 0.759 I
0.150 0.241 0.241 I
```

Properties
- raw formation energy (eV/atom) = -1.167
- magnetization (Bohr magnetons per cell) = 0.0
- DFT total energy (eV per cell) = -30.96


# CsCr5Te8

Crystalline CsCr5Te8 at its relaxed geometry (PBE, Alexandria).

POSCAR file:
```
CsCr5Te8
1.0
4.027 0.000 0.000
0.000 9.742 -0.031
-2.013 -2.544 9.997
Te Cr Cs
8 5 1
Direct
0.910 0.165 0.821 Te
0.426 0.842 0.853 Te
0.172 0.489 0.345 Te
0.574 0.158 0.147 Te
0.760 0.842 0.520 Te
0.090 0.835 0.179 Te
0.240 0.158 0.480 Te
0.828 0.511 0.655 Te
0.340 0.013 0.680 Cr
0.704 0.329 0.409 Cr
0.000 0.000 0.000 Cr
0.296 0.671 0.591 Cr
0.660 0.987 0.320 Cr
0.500 0.500 0.000 Cs
```

Properties
- raw formation energy (eV/atom) = -0.336
- magnetization (Bohr magnetons per cell) = 15.0
- DFT total energy (eV per cell) = -78.81


# Cs5Ag3Hg12

Crystalline Cs5Ag3Hg12 at its relaxed geometry (PBE, Alexandria).

POSCAR file:
```
Cs5Ag3Hg12
1.0
17.121 0.000 0.000
-5.707 16.142 0.000
-5.707 -8.071 13.979
Ag Cs Hg
12 20 48
Direct
0.250 0.125 0.375 Ag
0.375 0.750 0.625 Ag
0.625 0.250 0.375 Ag
0.375 0.625 0.250 Ag
0.250 0.625 0.875 Ag
0.625 0.375 0.750 Ag
0.750 0.875 0.625 Ag
0.125 0.875 0.750 Ag
0.875 0.750 0.125 Ag
0.750 0.375 0.125 Ag
0.125 0.250 0.875 Ag
0.875 0.125 0.250 Ag
0.875 0.625 0.750 Cs
0.375 0.250 0.125 Cs
0.000 0.000 0.500 Cs
0.750 0.625 0.375 Cs
0.625 0.875 0.250 Cs
0.000 0.000 0.000 Cs
0.500 0.500 0.000 Cs
0.250 0.375 0.625 Cs
0.125 0.375 0.250 Cs
0.375 0.125 0.750 Cs
0.500 0.500 0.500 Cs
0.000 0.500 0.500 Cs
0.000 0.500 0.000 Cs
0.625 0.750 0.875 Cs
0.875 0.250 0.625 Cs
0.125 0.750 0.375 Cs
0.750 0.125 0.875 Cs
0.500 0.000 0.500 Cs
0.500 0.000 0.000 Cs
0.250 0.875 0.125 Cs
0.353 0.460 0.104 Hg
0.353 0.894 0.750 Hg
0.040 0.896 0.147 Hg
0.540 0.894 0.644 Hg
0.147 0.750 0.606 Hg
0.644 0.250 0.604 Hg
0.104 0.144 0.250 Hg
0.144 0.040 0.894 Hg
0.250 0.644 0.104 Hg
0.540 0.647 0.396 Hg
0.106 0.647 0.750 Hg
0.250 0.396 0.856 Hg
0.040 0.144 0.394 Hg
0.896 0.040 0.647 Hg
0.896 0.856 0.750 Hg
0.460 0.106 0.356 Hg
0.460 0.353 0.604 Hg
0.606 0.250 0.147 Hg
0.750 0.604 0.144 Hg
0.606 0.356 0.960 Hg
0.853 0.250 0.394 Hg
0.856 0.896 0.250 Hg
0.396 0.250 0.356 Hg
0.394 0.644 0.040 Hg
0.396 0.147 0.540 Hg
0.250 0.853 0.894 Hg
0.856 0.960 0.106 Hg
0.604 0.750 0.644 Hg
0.250 0.606 0.647 Hg
0.356 0.750 0.396 Hg
0.144 0.104 0.750 Hg
0.750 0.147 0.106 Hg
0.960 0.856 0.606 Hg
0.894 0.353 0.250 Hg
0.853 0.604 0.960 Hg
0.750 0.394 0.353 Hg
0.604 0.853 0.460 Hg
0.750 0.356 0.896 Hg
0.147 0.396 0.040 Hg
0.106 0.460 0.856 Hg
0.647 0.106 0.250 Hg
0.644 0.394 0.540 Hg
0.104 0.960 0.353 Hg
0.647 0.540 0.896 Hg
0.894 0.540 0.144 Hg
0.356 0.606 0.460 Hg
0.394 0.750 0.853 Hg
0.960 0.104 0.853 Hg
```

Properties
- magnetization (Bohr magnetons per cell) = 0.0
- DFT total energy (eV per cell) = -68.53
- ΔH_f (0 K) (meV/atom) = -35


# Ac2CuGeRh6

Crystalline Ac2CuGeRh6 at its relaxed geometry (PBE, Alexandria).

POSCAR file:
```
Ac2CuGeRh6
1.0
-3.479 -5.606 -0.240
3.270 -1.795 -5.451
3.121 -5.816 -0.215
Rh Ac Ge Cu
6 2 1 1
Direct
0.248 0.752 0.000 Rh
0.248 0.248 0.504 Rh
0.752 0.248 0.000 Rh
0.752 0.752 0.000 Rh
0.248 0.248 0.000 Rh
0.752 0.752 0.496 Rh
0.750 0.250 0.500 Ac
0.250 0.750 0.500 Ac
0.000 0.000 0.000 Ge
0.500 0.500 0.000 Cu
```

Properties
- magnetization (Bohr magnetons per cell) = 1.3
- DFT total energy (eV per cell) = -62.54
- ΔH_f (0 K) (meV/atom) = -150